# SiTc2Ag | Alexandria | PBE | optimized geometry
# ΔE_f (raw) = 0.24 eV per atom
data_SiTc2Ag
_cell_length_a 4.6718
_cell_length_b 4.6718
_cell_length_c 4.6718
_cell_angle_alpha 129.93
_cell_angle_beta 129.93
_cell_angle_gamma 73.52
_symmetry_space_group_name_H-M 'P 1'
_symmetry_Int_Tables_number 1
_symmetry_space_group_name_Hall 'P 1'
loop_
_atom_site_label
_atom_site_fract_x
_atom_site_fract_y
_atom_site_fract_z
Si1 0.0000 0.0000 0.0000
Tc1 0.2500 0.7500 0.5000
Tc2 0.5000 0.5000 0.0000
Ag1 0.7500 0.2500 0.5000


# SiTc2Ag | Alexandria | PBE | optimized geometry
# ΔE_f (raw) = 0.10 eV per atom
data_SiTc2Ag
_cell_length_a 9.0657
_cell_length_b 9.0657
_cell_length_c 9.0657
_cell_angle_alpha 17.79
_cell_angle_beta 17.79
_cell_angle_gamma 17.79
_symmetry_space_group_name_H-M 'P 1'
_symmetry_Int_Tables_number 1
_symmetry_space_group_name_Hall 'P 1'
loop_
_atom_site_label
_atom_site_fract_x
_atom_site_fract_y
_atom_site_fract_z
Si1 0.0000 0.0000 0.0000
Tc1 0.4869 0.4869 0.4869
Tc2 0.7433 0.7433 0.7433
Ag1 0.2470 0.2470 0.2470


# SiTc2Ag | Alexandria | PBE | optimized geometry
# ΔE_f (raw) = 0.42 eV per atom
data_SiTc2Ag
_cell_length_a 2.9416
_cell_length_b 4.4731
_cell_length_c 4.5429
_cell_angle_alpha 90.00
_cell_angle_beta 90.00
_cell_angle_gamma 90.00
_symmetry_space_group_name_H-M 'P 1'
_symmetry_Int_Tables_number 1
_symmetry_space_group_name_Hall 'P 1'
loop_
_atom_site_label
_atom_site_fract_x
_atom_site_fract_y
_atom_site_fract_z
Si1 0.0000 0.0000 0.0000
Tc1 0.0000 0.5000 0.5000
Tc2 0.5000 0.5000 0.0000
Ag1 0.5000 0.0000 0.5000


- The highest ΔE_f (raw) belongs to which entry?
  number 3


- Among the records above, which one has the highest ΔE_f (raw)?
  number 3


- ΔE_f (raw) of number 1 (SiTc2Ag)?
  0.24 eV per atom


- Look up the ΔE_f (raw) of the first one.
  0.24 eV per atom